Record 1
Density functional theory data (GGA-PBE) for a geometry-optimized BeCdP2 structure.

a b c (Å): 3.8969 3.8969 8.4424
angles (deg): 90.00 90.00 90.00
Space group I-4m2 (No. 119)
Symmetry-distinct sites (fractional):
Be  0.0000  0.0000  0.0000 [2 per cell]
Cd  0.0000  0.5000  0.7500 [2 per cell]
P  0.0000  0.0000  0.5000 [2 per cell]
P  0.0000  0.5000  0.2500 [2 per cell]

Summary:
Polymorph energy (0 for the lowest one) in eV per atom: 0.631
ΔE_f in eV/atom: 0.70

Record 2
Density functional theory data (GGA-PBE) for a geometry-optimized KCuC2N2 structure.

a b c (Å): 7.6771 7.7707 7.4316
angles (deg): 90.00 100.01 90.00
Space group P2_1/c (No. 14)
Symmetry-distinct sites (fractional):
K  0.1919  0.0771  0.3240 [4 per cell]
Cu  0.3967  0.6159  0.4142 [4 per cell]
C  0.1724  0.6943  0.4566 [4 per cell]
C  0.4522  0.0862  0.7882 [4 per cell]
N  0.0338  0.7492  0.9745 [4 per cell]
N  0.4703  0.1892  0.6751 [4 per cell]

Summary:
ΔE_f (raw) in eV per atom: -0.08

Record 3
Density functional theory data (GGA-PBE) for a geometry-optimized BaHf2TcPt structure.

a b c (Å): 5.1605 5.1605 4.7639
angles (deg): 90.00 90.00 90.00
Space group P4/mmm (No. 123)
Symmetry-distinct sites (fractional):
Ba  0.0000  0.0000  0.0000 [1 per cell]
Hf  0.0000  0.5000  0.0000 [2 per cell]
Tc  0.0000  0.0000  0.5000 [1 per cell]
Pt  0.5000  0.5000  0.5000 [1 per cell]

Summary:
ΔE_f in eV/atom: 2.31

Record 4
Density functional theory data (GGA-PBE) for a geometry-optimized CuTcMo2 structure.

a b c (Å): 2.6452 2.6452 8.4681
angles (deg): 90.00 90.00 90.00
Space group P4mm (No. 99)
Symmetry-distinct sites (fractional):
Cu  0.0000  0.0000  0.0000 [1 per cell]
Tc  0.5000  0.5000  0.7668 [1 per cell]
Mo  0.0000  0.0000  0.5106 [1 per cell]
Mo  0.5000  0.5000  0.2395 [1 per cell]

Summary:
Polymorph energy (0 for the lowest one) in eV per atom: 0.150
ΔE_f in eV/atom: 0.30

Record 5
Density functional theory data (GGA-PBE) for a geometry-optimized CsZnGePSeBr structure.

a b c (Å): 4.0646 4.1589 11.4754
angles (deg): 82.13 81.95 66.23
Space group P1 (No. 1)
Symmetry-distinct sites (fractional):
Cs  0.0000  0.0000  0.0000 [1 per cell]
Zn  0.2201  0.2181  0.3105 [1 per cell]
Ge  0.4852  0.4861  0.5525 [1 per cell]
P  0.1458  0.1339  0.5207 [1 per cell]
Se  0.5843  0.5789  0.2316 [1 per cell]
Br  0.4247  0.4311  0.7798 [1 per cell]

Summary:
Polymorph energy (0 for the lowest one) in eV per atom: 0.036
ΔE_f (raw) in eV per atom: -0.57